This record from the Alexandria database describes a relaxed BaSbO2F crystal. The functional is GGA-PBE.

## Properties
Electronic total energy, eV/atom: -4.300
Magnetic moment, μB/f.u.: 0.041
Formation energy without anion corrections, eV per atom: -0.734
Space-group type: P4/mmm
D(E_F), states/eV/f.u.: 2.41

a = 4.917 Å, b = 4.917 Å, c = 4.818 Å
α = 90.00°, β = 90.00°, γ = 90.00°
Sites, in units of the cell vectors:
Sb  0.500  0.500  0.500
Ba  0.000  0.000  0.000
O  0.000  0.500  0.000
O  0.500  0.000  0.000
F  0.000  0.000  0.500

---

This record from the Alexandria database describes a relaxed CaAgP2 crystal. The functional is GGA-PBE.

## Properties
Electronic total energy, eV/atom: -4.186
Magnetic moment, μB/f.u.: 0.000
Formation enthalpy at 0 K, eV per formula unit: -1.07
Space-group type: C2/m
D(E_F), states/eV/f.u.: 2.26

a = 4.794 Å, b = 4.794 Å, c = 4.731 Å
α = 72.15°, β = 72.15°, γ = 57.23°
Sites, in units of the cell vectors:
Ag  0.750  0.750  0.750
Ca  0.250  0.250  0.250
P  0.008  0.008  0.867
P  0.492  0.492  0.633

---

This record from the Alexandria database describes a relaxed NaYSeI crystal. The functional is GGA-PBE.

## Properties
Electronic total energy, eV/atom: -4.486
Magnetic moment, μB/f.u.: 0.000
Formation energy without anion corrections, eV per atom: -1.282
Space-group type: R3m
D(E_F), states/eV/f.u.: 2.56

a = 4.141 Å, b = 4.140 Å, c = 8.245 Å
α = 89.98°, β = 104.53°, γ = 120.00°
Sites, in units of the cell vectors:
Na  0.505  0.150  0.669
Y  0.110  0.953  0.079
Se  0.310  0.553  0.877
I  0.953  0.374  0.344

---

This record from the Alexandria database describes a relaxed CsTcSn2Os crystal. The functional is GGA-PBE.

## Properties
Electronic total energy, eV/atom: -2.913
Magnetic moment, μB/f.u.: 4.291
Formation enthalpy at 0 K, eV per formula unit: 15.89
Space-group type: P4/mmm
D(E_F), states/eV/f.u.: 9.00

a = 5.865 Å, b = 5.865 Å, c = 4.973 Å
α = 90.00°, β = 90.00°, γ = 90.00°
Sites, in units of the cell vectors:
Cs  0.000  0.000  0.000
Os  0.500  0.500  0.500
Sn  0.000  0.500  0.000
Sn  0.500  0.000  0.000
Tc  0.000  0.000  0.500